Li4Ti3MnSe8: optimized geometry, PBE-GGA.

Structure (POSCAR):
```
Li4Ti3MnSe8
1.0
3.7095 2.1417 6.4040
-3.7095 2.1417 6.4040
0.0000 -4.2833 6.4040
Li Ti Mn Se
4 3 1 8
direct
0.0000 0.0000 0.0000
0.0000 0.5000 0.5000
0.5000 0.0000 0.5000
0.5000 0.5000 0.0000
0.0000 0.0000 0.5000
0.0000 0.5000 0.0000
0.5000 0.0000 0.0000
0.5000 0.5000 0.5000
0.2421 0.7466 0.7466
0.2459 0.2459 0.2459
0.2534 0.2534 0.7579
0.2534 0.7579 0.2534
0.7466 0.2421 0.7466
0.7466 0.7466 0.2421
0.7541 0.7541 0.7541
0.7579 0.2534 0.2534
```

Values from the calculation:
The total magnetization is 6.45 μB/f.u. As for the calculated total energy: -5.37 eV/atom. The value obtained for the uncorrected formation energy is -1.095 eV per atom. Its space-group type is R-3m (166).